Arrangement A

Computed, not measured: a relaxed structure of LaTlCd2Pt at the PBE level of DFT.

Lattice parameters (Å, degrees): 5.3415 5.2078 5.3415 90.00 90.00 90.00
Positions (direct):
Tl (0.0000, 0.0000, 0.0000)
Cd (0.0000, 0.0000, 0.5000)
Cd (0.5000, 0.0000, 0.0000)
Pt (0.0000, 0.5000, 0.0000)
La (0.5000, 0.5000, 0.5000)

Output
**M_tot**: 0.0 μB per formula unit
**Theoretical density**: 8529 kg/m3

***

Arrangement B

Computed, not measured: a relaxed structure of LaTlCd2Pt at the PBE level of DFT.

Lattice parameters (Å, degrees): 5.3021 5.3021 5.3807 90.00 90.00 90.00
Positions (direct):
Cd (0.5000, 0.0000, 0.0000)
Cd (0.0000, 0.5000, 0.0000)
Tl (0.5000, 0.5000, 0.5000)
Pt (0.0000, 0.0000, 0.0000)
La (0.0000, 0.0000, 0.5000)

Output
**M_tot**: 0.0 μB per formula unit
**Theoretical density**: 8378 kg/m3

***

Most stable to least stable, the ends of the list are arrangement B and arrangement A.

***

Arrangement A

Computed, not measured: a relaxed structure of RbLa2Cd2 at the PBE level of DFT.

Lattice parameters (Å, degrees): 9.8253 9.8253 3.5934 90.00 90.00 90.00
Positions (direct):
Cd (0.6739, 0.8261, 0.5000)
Cd (0.3261, 0.1739, 0.5000)
Cd (0.1739, 0.6739, 0.5000)
Cd (0.8261, 0.3261, 0.5000)
La (0.1172, 0.3828, 0.0000)
La (0.6172, 0.1172, 0.0000)
La (0.3828, 0.8828, 0.0000)
La (0.8828, 0.6172, 0.0000)
Rb (0.5000, 0.5000, 0.0000)
Rb (0.0000, 0.0000, 0.0000)

Output
**M_tot**: 0.0 μB per formula unit
**Theoretical density**: 5630 kg/m3

***

Arrangement B

Computed, not measured: a relaxed structure of RbLa2Cd2 at the PBE level of DFT.

Lattice parameters (Å, degrees): 4.9637 4.9637 8.5717 73.17 73.17 90.00
Positions (direct):
La (0.2500, 0.7500, 0.5000)
La (0.7500, 0.2500, 0.5000)
Rb (0.0000, 0.0000, 0.0000)
Cd (0.5989, 0.5989, 0.8022)
Cd (0.4011, 0.4011, 0.1978)

Output
**M_tot**: 0.0 μB per formula unit
**Theoretical density**: 5068 kg/m3

***

Arrangement C

Computed, not measured: a relaxed structure of RbLa2Cd2 at the PBE level of DFT.

Lattice parameters (Å, degrees): 5.8364 5.8364 7.0789 65.65 65.65 90.00
Positions (direct):
Cd (0.2500, 0.7500, 0.5000)
Cd (0.7500, 0.2500, 0.5000)
La (0.6310, 0.6310, 0.7381)
La (0.3690, 0.3690, 0.2619)
Rb (0.0000, 0.0000, 0.0000)

Output
**M_tot**: 0.0 μB per formula unit
**Theoretical density**: 4985 kg/m3

***

Most stable to least stable, the ends of the list are arrangement A and arrangement C.

***

Arrangement A

Computed, not measured: a relaxed structure of RbLa3Cd at the PBE level of DFT.

Lattice parameters (Å, degrees): 6.1949 6.1949 6.1949 90.00 90.00 90.00
Positions (direct):
Rb (0.5000, 0.5000, 0.5000)
La (0.5000, 0.0000, 0.0000)
La (0.0000, 0.0000, 0.5000)
La (0.0000, 0.5000, 0.0000)
Cd (0.0000, 0.0000, 0.0000)

Output
**M_tot**: 1.0 μB per formula unit
**Theoretical density**: 4293 kg/m3

***

Arrangement B

Computed, not measured: a relaxed structure of RbLa3Cd at the PBE level of DFT.

Lattice parameters (Å, degrees): 5.7312 5.7312 5.7312 90.00 90.00 90.00
Positions (direct):
La (0.0000, 0.5000, 0.0000)
La (0.0000, 0.0000, 0.5000)
La (0.5000, 0.0000, 0.0000)
Cd (0.5000, 0.5000, 0.5000)
Rb (0.0000, 0.0000, 0.0000)

Output
**M_tot**: 0.0 μB per formula unit
**Theoretical density**: 5421 kg/m3

***

Most stable to least stable, the ends of the list are arrangement A and arrangement B.

***

Arrangement A

Computed, not measured: a relaxed structure of LaCdRe at the PBE level of DFT.

Lattice parameters (Å, degrees): 4.9794 4.9794 4.9794 60.00 60.00 60.00
Positions (direct):
Cd (0.5000, 0.5000, 0.5000)
Re (0.0000, 0.0000, 0.0000)
La (0.7500, 0.7500, 0.7500)

Output
**M_tot**: 2.0 μB per formula unit
**Theoretical density**: 8322 kg/m3

***

Arrangement B

Computed, not measured: a relaxed structure of LaCdRe at the PBE level of DFT.

Lattice parameters (Å, degrees): 7.8513 7.6757 3.0441 81.96 75.47 22.58
Positions (direct):
La (0.3177, 0.3177, 0.6823)
Cd (0.0172, 0.0172, 0.9828)
Re (0.6651, 0.6651, 0.3349)

Output
**M_tot**: 0.0 μB per formula unit
**Theoretical density**: 10997 kg/m3

***

Arrangement C

Computed, not measured: a relaxed structure of LaCdRe at the PBE level of DFT.

Lattice parameters (Å, degrees): 6.2054 6.2054 6.2054 152.28 141.46 48.13
Positions (direct):
Re (0.6526, 0.6526, 0.0000)
La (0.3188, 0.3188, 0.0000)
Cd (0.0286, 0.0286, 0.0000)

Output
**M_tot**: 0.0 μB per formula unit
**Theoretical density**: 10531 kg/m3

***

Most stable to least stable, the ends of the list are arrangement C and arrangement A.

***

Arrangement A

Computed, not measured: a relaxed structure of LaCdRe at the PBE level of DFT.

Lattice parameters (Å, degrees): 4.7521 4.7521 4.7521 60.00 60.00 60.00
Positions (direct):
La (0.5000, 0.5000, 0.5000)
Re (0.7500, 0.7500, 0.7500)
Cd (0.0000, 0.0000, 0.0000)

Output
**M_tot**: 0.0 μB per formula unit
**Theoretical density**: 9574 kg/m3

***

Arrangement B

Computed, not measured: a relaxed structure of LaCdRe at the PBE level of DFT.

Lattice parameters (Å, degrees): 4.8293 4.8293 4.8293 60.00 60.00 60.00
Positions (direct):
Re (0.5000, 0.5000, 0.5000)
La (0.0000, 0.0000, 0.0000)
Cd (0.7500, 0.7500, 0.7500)

Output
**M_tot**: 1.2 μB per formula unit
**Theoretical density**: 9122 kg/m3

***

Arrangement C

Computed, not measured: a relaxed structure of LaCdRe at the PBE level of DFT.

Lattice parameters (Å, degrees): 5.1664 5.1664 2.8851 90.00 90.00 120.00
Positions (direct):
Re (0.3333, 0.6667, 0.8323)
Cd (0.0000, 0.0000, 0.8344)
La (0.6667, 0.3333, 0.3333)

Output
**M_tot**: 0.1 μB per formula unit
**Theoretical density**: 10894 kg/m3

***

Arrangement D

Computed, not measured: a relaxed structure of LaCdRe at the PBE level of DFT.

Lattice parameters (Å, degrees): 6.8865 6.8865 6.8865 152.38 152.38 39.46
Positions (direct):
La (0.3140, 0.3140, 0.0000)
Re (0.6592, 0.6592, 0.0000)
Cd (0.0268, 0.0268, 0.0000)

Output
**M_tot**: 1.0 μB per formula unit
**Theoretical density**: 10370 kg/m3

***

Most stable to least stable, the ends of the list are arrangement C and arrangement B.